Computed, not measured: a geometry-optimized YHg3S structure at the PBE level of DFT.

Computed properties:
- Electronic total energy: -1.970 eV/atom
- Spin magnetization: 0.0000 μB per atom
- Formation energy (no corrections): 32 kJ/mol of atoms

Unit cell a=5.1854 b=5.1854 c=5.1854 alpha=90.00 beta=90.00 gamma=90.00
Space group Pm-3m (No. 221)
Symmetry-distinct sites (fractional):
Y 0.0000 0.0000 0.0000
Hg 0.0000 0.5000 0.5000
S 0.5000 0.5000 0.5000